No. 1
Below is a relaxed Sr3RhF crystal, with properties calculated at the PBE level.

Cell and atoms, written as POSCAR:
```
Sr3RhF
1.0
-2.736 -3.563 -2.473
0.225 -3.037 4.126
-4.331 2.093 1.777
Sr Rh F
3 1 1
Direct
0.000 0.000 0.500
0.500 0.000 0.000
0.000 0.500 0.000
0.500 0.500 0.500
0.000 0.000 0.000
```

## Properties
For the energy above the most stable polymorph in this dataset, the calculation gives 0 kJ/mol of formula units. As for the density of states at the Fermi level: 2.65 states/eV per cell. Its symmetry is Pm-3m, No. 221.

No. 2
Below is a relaxed LaCeNd6 crystal, with properties calculated at the PBE level.

Cell and atoms, written as POSCAR:
```
LaCeNd6
1.0
-1.770 5.955 -1.406
-2.526 -4.020 -4.247
-3.772 -1.727 7.066
Nd Ce La
6 1 1
Direct
0.247 0.247 0.494
0.377 0.877 0.754
0.623 0.123 0.246
0.123 0.623 0.246
0.753 0.753 0.506
0.877 0.377 0.754
0.000 0.000 0.000
0.500 0.500 0.000
```

## Properties
For the energy above the most stable polymorph in this dataset, the calculation gives 5 kJ/mol of formula units. As for the density of states at the Fermi level: 18.02 states/eV per cell. Its symmetry is Fmmm, No. 69.

No. 3
Below is a relaxed CsSiTe crystal, with properties calculated at the PBE level.

Cell and atoms, written as POSCAR:
```
CsSiTe
1.0
-3.925 5.556 4.641
-5.617 1.178 1.312
-1.150 -1.553 9.540
Si Te Cs
2 2 2
Direct
0.153 0.875 0.691
0.508 0.498 0.736
0.790 0.102 0.968
0.941 0.191 0.478
0.496 0.160 0.430
0.251 0.126 0.997
```

## Properties
The total DFT energy (no corrections) comes out at -0.126 hartree per atom. Its symmetry is P1, No. 1.

No. 4
Below is a relaxed SrEuAg crystal, with properties calculated at the PBE level.

Cell and atoms, written as POSCAR:
```
SrEuAg
1.0
3.908 0.000 0.000
0.000 3.908 0.000
-1.954 -1.954 6.965
Sr Ag Eu
1 1 1
Direct
0.029 0.029 0.057
0.671 0.671 0.342
0.300 0.300 0.601
```

## Properties
For the energy above the most stable polymorph in this dataset, the calculation gives 0 kJ/mol of formula units. As for the density of states at the Fermi level: 10.55 states/eV per cell. Its symmetry is I4mm, No. 107.

No. 5
Below is a relaxed LiCdPt2 crystal, with properties calculated at the PBE level.

Cell and atoms, written as POSCAR:
```
LiCdPt2
1.0
-4.760 1.009 -0.398
0.734 -2.837 3.905
0.358 2.327 1.623
Pt Li Cd
2 1 1
Direct
0.000 0.000 0.000
0.500 0.500 0.000
0.000 0.500 0.500
0.500 0.000 0.500
```

## Properties
The total DFT energy (no corrections) comes out at -0.152 hartree per atom. As for the density of states at the Fermi level: 1.35 states/eV per cell. Its symmetry is Cmmm, No. 65.

No. 6
Below is a relaxed PaCdHgGe crystal, with properties calculated at the PBE level.

Cell and atoms, written as POSCAR:
```
PaCdHgGe
1.0
5.043 0.000 0.000
2.521 4.367 0.000
2.521 1.456 4.117
Ge Cd Hg Pa
1 1 1 1
Direct
0.000 0.000 0.000
0.750 0.750 0.750
0.500 0.500 0.500
0.250 0.250 0.250
```

## Properties
The total DFT energy (no corrections) comes out at -0.141 hartree per atom. As for the density of states at the Fermi level: 5.06 states/eV per cell. Its symmetry is F-43m, No. 216.

No. 7
Below is a relaxed BaBe2Re crystal, with properties calculated at the PBE level.

Cell and atoms, written as POSCAR:
```
BaBe2Re
1.0
4.651 0.000 0.000
2.326 4.028 0.000
2.326 1.343 3.798
Be Ba Re
2 1 1
Direct
0.250 0.250 0.250
0.000 0.000 0.000
0.500 0.500 0.500
0.750 0.750 0.750
```

## Properties
For the energy above the most stable polymorph in this dataset, the calculation gives 437 kJ/mol of formula units. As for the density of states at the Fermi level: 4.09 states/eV per cell. Its symmetry is F-43m, No. 216.

No. 8
Below is a relaxed NbSb2TeOs crystal, with properties calculated at the PBE level.

Cell and atoms, written as POSCAR:
```
NbSb2TeOs
1.0
4.991 0.000 0.000
0.000 4.991 0.000
0.000 0.000 5.620
Te Os Sb Nb
1 1 2 1
Direct
0.000 0.000 0.500
0.000 0.000 0.000
0.000 0.500 0.000
0.500 0.000 0.000
0.500 0.500 0.500
```

## Properties
For the energy above the most stable polymorph in this dataset, the calculation gives 0 kJ/mol of formula units. As for the density of states at the Fermi level: 3.27 states/eV per cell. Its symmetry is P4/mmm, No. 123.

No. 9
Below is a relaxed MnPd4Pt2 crystal, with properties calculated at the PBE level.

Cell and atoms, written as POSCAR:
```
MnPd4Pt2
1.0
-0.745 3.389 3.756
-4.459 0.705 -2.403
-0.938 -8.128 4.108
Pd Pt Mn
8 4 2
Direct
0.974 0.576 0.247
0.589 0.167 0.662
0.977 0.079 0.253
0.826 0.724 0.747
0.504 0.927 0.338
0.417 0.339 0.162
0.177 0.254 0.838
0.329 0.727 0.753
0.760 0.160 0.972
0.038 0.938 0.528
0.410 0.510 0.472
0.188 0.788 0.028
0.648 0.648 0.000
0.898 0.398 0.500
```

## Properties
For the energy above the most stable polymorph in this dataset, the calculation gives 82 kJ/mol of formula units. As for the density of states at the Fermi level: 18.98 states/eV per cell. Its symmetry is Fdd2, No. 43.

No. 10
Below is a relaxed InSiAg crystal, with properties calculated at the PBE level.

Cell and atoms, written as POSCAR:
```
InSiAg
1.0
7.481 -0.110 -0.004
-2.506 4.630 -0.091
0.003 0.073 3.730
In Ag Si
2 2 2
Direct
0.377 0.288 0.255
0.313 0.754 0.755
0.026 0.063 0.756
0.664 0.978 0.256
0.793 0.601 0.256
0.897 0.440 0.756
```

## Properties
The total DFT energy (no corrections) comes out at -0.129 hartree per atom. As for the density of states at the Fermi level: 1.78 states/eV per cell. Its symmetry is P2_1/m, No. 11.

No. 11
Below is a relaxed ReAg3Mo crystal, with properties calculated at the PBE level.

Cell and atoms, written as POSCAR:
```
ReAg3Mo
1.0
5.006 0.000 0.000
0.000 5.006 0.000
0.000 0.000 5.006
Ag Mo Re
3 1 1
Direct
0.000 0.500 0.000
0.000 0.000 0.500
0.500 0.000 0.000
0.000 0.000 0.000
0.500 0.500 0.500
```

## Properties
For the energy above the most stable polymorph in this dataset, the calculation gives 155 kJ/mol of formula units. As for the density of states at the Fermi level: 4.57 states/eV per cell. Its symmetry is Pm-3m, No. 221.

No. 12
Below is a relaxed Er6FeHg2 crystal, with properties calculated at the PBE level.

Cell and atoms, written as POSCAR:
```
Er6FeHg2
1.0
5.037 0.000 -0.193
0.000 7.017 0.002
-2.244 -3.507 7.249
Er Hg Fe
6 2 1
Direct
0.847 0.087 0.694
0.500 0.225 0.000
0.500 0.775 0.000
0.153 0.394 0.306
0.153 0.913 0.306
0.847 0.606 0.694
0.666 0.666 0.332
0.334 0.334 0.668
0.000 0.000 0.000
```

## Properties
The total DFT energy (no corrections) comes out at -0.150 hartree per atom. As for the density of states at the Fermi level: 10.87 states/eV per cell. Its symmetry is Immm, No. 71.

Number 1: density 4.7 g/cm3. Number 2: density 6.8 g/cm3. Number 3: density 3.4 g/cm3. Number 4: density 5.4 g/cm3. Number 5: density 13.2 g/cm3. Number 6: density 11.3 g/cm3. Number 7: density 8.0 g/cm3. Number 8: density 7.8 g/cm3. Number 9: density 13.1 g/cm3. Number 10: density 6.5 g/cm3. Number 11: density 8.0 g/cm3. Number 12: density 9.6 g/cm3.